# NiHgSe2 | Alexandria via LeMat-Bulk | PBE | optimized geometry
data_NiHgSe2
_symmetry_space_group_name_H-M 'P 1'
_symmetry_Int_Tables_number 1
_cell_length_a 3.027
_cell_length_b 3.661
_cell_length_c 7.779
_cell_angle_alpha 90.00
_cell_angle_beta 90.00
_cell_angle_gamma 90.00
loop_
_symmetry_equiv_pos_as_xyz
'x,y,z'
loop_
_atom_site_label
_atom_site_type_symbol
_atom_site_fract_x
_atom_site_fract_y
_atom_site_fract_z
Hg1 Hg 0.000 0.000 0.523
Ni1 Ni 0.500 0.500 0.794
Se1 Se 0.000 0.000 0.879
Se2 Se 0.500 0.500 0.304
# E (eV per cell): -12.231
# Volume (A^3/atom): 21.55
# E_form (uncorrected) (eV/atom): 0.205
# M_tot (μB per atom): 0.000
# Calculated density (Mg/m³): 8.04
# Symmetry: No. 25